1.
Material: RbTl3Rh
Method: DFT, PBE-GGA
State: optimized geometry

Calculated values
Calculated volume ... 341.0 Å³/cell
M_tot ... 0.00 μB/f.u.
Space-group type ... P1 (1)
Formation energy from the elements ... -20 meV per atom
D(E_F) ... 2.5 states/eV per cell
Relative energy among the computed polymorphs ... 43 meV/atom

```
RbTl3Rh
1.0
5.313 0.000 0.000
-0.102 7.372 0.000
-1.442 -1.713 8.707
Rb Tl Rh
2 6 2
Direct
0.000 0.000 0.000
0.499 0.538 0.159
0.075 0.403 0.462
0.121 0.865 0.416
0.390 0.182 0.734
0.577 0.078 0.319
0.666 0.767 0.611
0.898 0.462 0.833
0.586 0.401 0.535
0.870 0.111 0.621
```

2.
Material: Ac2GdNi
Method: DFT, PBE-GGA
State: optimized geometry

Calculated values
Calculated volume ... 146.7 Å³/cell
M_tot ... 8.05 μB/f.u.
Space-group type ... R-3m (166)
Formation energy from the elements ... 145 meV per atom
D(E_F) ... 8.8 states/eV per cell
Relative energy among the computed polymorphs ... 163 meV/atom

```
Ac2GdNi
1.0
1.978 1.142 10.827
-1.978 1.142 10.827
0.000 -2.284 10.827
Ac Gd Ni
2 1 1
Direct
0.112 0.112 0.112
0.888 0.888 0.888
0.000 0.000 0.000
0.500 0.500 0.500
```